No. 1
A plane-wave DFT calculation with GGA-PBE was carried out for a relaxed structure of AgRuPt2.

abc: 5.592 8.072 2.758
angles: 90.00 90.00 90.00
Space group Cmmm (No. 65)
Inequivalent atoms, fractional coordinates:
1 Ag 0.000 0.000 0.000 [2 per cell]
2 Ru 0.000 0.500 0.000 [2 per cell]
3 Pt 0.250 0.250 0.500 [4 per cell]

* total magnetization: 0.001 μB per formula unit
* energy of formation from the pure elements: 155 meV per atom
* V: 124.51 Å³ per cell
* ΔE to the lowest computed polymorph: 127.6 meV/atom
* DOS at the Fermi energy: 1.277 states/eV/atom


No. 2
A plane-wave DFT calculation with GGA-PBE was carried out for a relaxed structure of K2AgI4.

abc: 8.767 6.749 10.403
angles: 90.00 107.22 90.00
Space group P2_1/m (No. 11)
Inequivalent atoms, fractional coordinates:
1 K 0.212 0.250 0.429 [2 per cell]
2 K 0.230 0.250 0.932 [2 per cell]
3 Ag 0.227 0.750 0.182 [2 per cell]
4 I 0.078 0.750 0.385 [2 per cell]
5 I 0.087 0.750 0.905 [2 per cell]
6 I 0.492 0.507 0.743 [4 per cell]

* total magnetization: 0.000 μB per formula unit
* V: 587.91 Å³ per cell
* ΔE to the lowest computed polymorph: 0.0 meV/atom
* DOS at the Fermi energy: 0.270 states/eV/atom